Computed, not measured: a relaxed Co2MoAsCl crystal at the GGA-PBE level of DFT.

a = 4.265 Å, b = 4.265 Å, c = 5.278 Å
α = 90.00°, β = 90.00°, γ = 90.00°
Atoms (fractional coordinates):
Co: 0.000 0.500 0.000
Co: 0.500 0.000 0.000
Mo: 0.000 0.000 0.500
As: 0.500 0.500 0.000
Cl: 0.500 0.500 0.500

Output
Formation energy from raw total energies ... 1.22 eV/atom

=====

Computed, not measured: a relaxed NaCoAsCl6 crystal at the GGA-PBE level of DFT.

a = 6.425 Å, b = 6.425 Å, c = 6.240 Å
α = 90.00°, β = 90.00°, γ = 120.00°
Atoms (fractional coordinates):
Na: 0.000 0.000 0.000
Co: 0.333 0.667 0.500
As: 0.667 0.333 0.500
Cl: 0.008 0.365 0.723
Cl: 0.008 0.643 0.277
Cl: 0.357 0.365 0.277
Cl: 0.357 0.992 0.723
Cl: 0.635 0.643 0.723
Cl: 0.635 0.992 0.277

Output
Formation energy from raw total energies ... -0.85 eV/atom

=====

Number 2 is which compound?
NaCoAsCl6